No. 1
DFT (PBE-GGA) results for a relaxed DyThBeN3 crystal.

Output
formation energy from raw total energies: -32.55 kcal/mol of atoms
symmetry: P2_1/m

Structure (POSCAR):
```
DyThBeN3
1.0
6.8942 0.0000 0.0000
0.0000 3.3794 0.0000
-1.2962 0.0000 7.1384
Dy Th Be N
2 2 2 6
Direct
0.1850 0.2500 0.1527
0.8150 0.7500 0.8473
0.2131 0.2500 0.6765
0.7869 0.7500 0.3235
0.3973 0.7500 0.4247
0.6027 0.2500 0.5753
0.1445 0.7500 0.3844
0.1665 0.7500 0.9039
0.4941 0.2500 0.3469
0.5059 0.7500 0.6531
0.8335 0.2500 0.0961
0.8555 0.2500 0.6156
```

No. 2
DFT (PBE-GGA) results for a relaxed HW2N crystal.

Output
relative energy among the computed polymorphs: 0 meV per atom
symmetry: I-42d

Structure (POSCAR):
```
HW2N
1.0
-2.2207 2.2207 4.5009
2.2207 -2.2207 4.5009
2.2207 2.2207 -4.5009
H W N
2 4 2
Direct
0.0000 0.0000 0.0000
0.7500 0.2500 0.5000
0.0975 0.6250 0.9725
0.3750 0.3475 0.4725
0.6525 0.1250 0.0275
0.8750 0.9025 0.5275
0.2500 0.7500 0.5000
0.5000 0.5000 0.0000
```

No. 3
DFT (PBE-GGA) results for a relaxed SmEr2ZrAs4 crystal.

Output
calculated formation energy: -1087 kJ/mol of formula units
symmetry: P2/m

Structure (POSCAR):
```
SmEr2ZrAs4
1.0
7.0123 0.0000 0.0000
0.0000 4.0514 0.0000
-2.3197 0.0000 6.6300
Sm Er Zr As
1 2 1 4
Direct
0.0000 0.0000 0.0000
0.5000 0.0000 0.5000
0.5000 0.5000 0.0000
0.0000 0.5000 0.5000
0.2446 0.0000 0.7389
0.2513 0.5000 0.2603
0.7487 0.5000 0.7397
0.7554 0.0000 0.2611
```

No. 4
DFT (PBE-GGA) results for a relaxed Y6SbP4 crystal.

Output
formation energy from raw total energies: -33.31 kcal/mol of atoms
symmetry: Cmcm

Structure (POSCAR):
```
Y6SbP4
1.0
2.0334 -6.6139 0.0000
2.0334 6.6139 0.0000
0.0000 0.0000 20.3776
Y Sb P
12 2 8
Direct
0.0000 0.0000 0.0000
0.0000 0.0000 0.5000
0.1646 0.8354 0.7500
0.2722 0.7278 0.0813
0.2722 0.7278 0.4187
0.4615 0.5385 0.6587
0.4615 0.5385 0.8413
0.5385 0.4615 0.1587
0.5385 0.4615 0.3413
0.7278 0.2722 0.5813
0.7278 0.2722 0.9187
0.8354 0.1646 0.2500
0.1616 0.8384 0.2500
0.8384 0.1616 0.7500
0.0937 0.9063 0.6244
0.0937 0.9063 0.8756
0.3630 0.6370 0.5420
0.3630 0.6370 0.9580
0.6370 0.3630 0.0420
0.6370 0.3630 0.4580
0.9063 0.0937 0.1244
0.9063 0.0937 0.3756
```

No. 5
DFT (PBE-GGA) results for a relaxed KBa2Ac crystal.

Output
calculated formation energy: 38 kJ/mol of formula units
relative energy among the computed polymorphs: 5 meV per atom
symmetry: P4/mmm

Structure (POSCAR):
```
KBa2Ac
1.0
4.2018 0.0000 0.0000
0.0000 4.2018 0.0000
0.0000 0.0000 13.2291
K Ba Ac
1 2 1
Direct
0.0000 0.0000 0.0000
0.5000 0.5000 0.2761
0.5000 0.5000 0.7239
0.0000 0.0000 0.5000
```

No. 6
DFT (PBE-GGA) results for a relaxed Li3Np3TiN8 crystal.

Output
formation energy from raw total energies: -20.23 kcal/mol of atoms
symmetry: R-3m

Structure (POSCAR):
```
Li3Np3TiN8
1.0
3.3253 1.9198 5.0132
-3.3253 1.9198 5.0132
0.0000 -3.8397 5.0132
Li Np Ti N
3 3 1 8
Direct
0.0000 0.5000 0.5000
0.5000 0.0000 0.5000
0.5000 0.5000 0.0000
0.0000 0.0000 0.5000
0.0000 0.5000 0.0000
0.5000 0.0000 0.0000
0.5000 0.5000 0.5000
0.2397 0.2397 0.2397
0.2410 0.7286 0.7286
0.2714 0.2714 0.7590
0.2714 0.7590 0.2714
0.7286 0.2410 0.7286
0.7286 0.7286 0.2410
0.7590 0.2714 0.2714
0.7603 0.7603 0.7603
```

In order of appearance, D(E_F) = 0.007 0.390 0.177 0.384 1.680 0.805 states/eV per atom.